# 1
The following is a DFT calculation (PBE) of ZnGaNiCl2 after structural relaxation. Values from VASP.

Quantum ESPRESSO input file:
```
&SYSTEM
  ibrav = 0, nat = 5, ntyp = 4
/
ATOMIC_SPECIES
Zn 65.41 Zn.upf
Ga 69.72 Ga.upf
Ni 58.69 Ni.upf
Cl 35.45 Cl.upf
CELL_PARAMETERS angstrom
-1.1510 -1.5483 4.2103
-2.1483 -4.0264 -2.0680
4.0225 -2.2803 0.2611
ATOMIC_POSITIONS crystal
Zn 0.5000 0.5000 0.5000
Ga 0.0000 0.5000 0.0000
Ni 0.0000 0.0000 0.0000
Cl 0.0000 0.0000 0.5000
Cl 0.5000 0.0000 0.0000
```

- energy (eV per cell) = -14.40
- raw formation energy (eV/atom) = -0.125
- space group = P4/mmm, No. 123

***

# 2
The following is a DFT calculation (PBE) of Np2GaCl8 after structural relaxation. Values from VASP.

Quantum ESPRESSO input file:
```
&SYSTEM
  ibrav = 0, nat = 11, ntyp = 3
/
ATOMIC_SPECIES
Cl 35.45 Cl.upf
Np 237.00 Np.upf
Ga 69.72 Ga.upf
CELL_PARAMETERS angstrom
-6.7331 -1.3398 4.5139
2.5745 -5.8158 2.1141
6.2326 4.7304 3.2235
ATOMIC_POSITIONS crystal
Cl 0.8411 0.7130 0.6821
Cl 0.9350 0.8137 0.3112
Cl 0.6238 0.1863 0.6887
Cl 0.3891 0.7592 0.7783
Np 0.2718 0.0112 0.5436
Cl 0.6109 0.2408 0.2218
Cl 0.3762 0.8137 0.3112
Cl 0.0649 0.1863 0.6887
Np 0.7282 0.9888 0.4564
Cl 0.1589 0.2870 0.3179
Ga 0.0000 0.0001 0.0000
```

- energy (eV per cell) = -59.78
- raw formation energy (eV/atom) = -1.463
- space group = C2/m, No. 12

***

# 3
The following is a DFT calculation (PBE) of NpGaCl4 after structural relaxation. Values from VASP.

Quantum ESPRESSO input file:
```
&SYSTEM
  ibrav = 0, nat = 12, ntyp = 3
/
ATOMIC_SPECIES
Ga 69.72 Ga.upf
Cl 35.45 Cl.upf
Np 237.00 Np.upf
CELL_PARAMETERS angstrom
4.1740 0.0000 0.7767
1.8287 8.9286 1.7766
0.0900 0.6903 11.1207
ATOMIC_POSITIONS crystal
Ga 0.2554 0.2500 0.7500
Cl 0.6802 0.2241 0.9459
Np 0.5000 0.5000 0.0000
Cl 0.4515 0.9316 0.6667
Cl 0.1498 0.7241 0.4459
Cl 0.3198 0.7759 0.0541
Cl 0.8502 0.2759 0.5541
Np 0.0000 0.0000 0.5000
Cl 0.5485 0.0684 0.3333
Ga 0.7446 0.7500 0.2500
Cl 0.9501 0.4316 0.1667
Cl 0.0499 0.5684 0.8333
```

- energy (eV per cell) = -63.03
- raw formation energy (eV/atom) = -1.360
- space group = C2/c, No. 15

***

# 4
The following is a DFT calculation (PBE) of NpGaCl6 after structural relaxation. Values from VASP.

Quantum ESPRESSO input file:
```
&SYSTEM
  ibrav = 0, nat = 8, ntyp = 3
/
ATOMIC_SPECIES
Cl 35.45 Cl.upf
Np 237.00 Np.upf
Ga 69.72 Ga.upf
CELL_PARAMETERS angstrom
-0.5021 4.6408 -5.1466
-4.1834 0.4754 5.5272
5.6822 2.5341 2.9487
ATOMIC_POSITIONS crystal
Cl 0.2373 0.2373 0.7776
Cl 0.7627 0.7627 0.2224
Cl 0.3592 0.0713 0.2265
Np 0.0000 0.0000 0.0000
Cl 0.9287 0.6408 0.7735
Ga 0.5000 0.5000 0.5000
Cl 0.0713 0.3592 0.2265
Cl 0.6408 0.9287 0.7735
```

- energy (eV per cell) = -37.39
- raw formation energy (eV/atom) = -1.293
- space group = C2/m, No. 12

***

# 5
The following is a DFT calculation (PBE) of NpGa6Cl12 after structural relaxation. Values from VASP.

Quantum ESPRESSO input file:
```
&SYSTEM
  ibrav = 0, nat = 19, ntyp = 3
/
ATOMIC_SPECIES
Cl 35.45 Cl.upf
Ga 69.72 Ga.upf
Np 237.00 Np.upf
CELL_PARAMETERS angstrom
-8.2050 -2.2709 -1.5507
-1.4687 -7.0896 4.7396
-4.5570 2.6085 6.8784
ATOMIC_POSITIONS crystal
Cl 0.8480 0.5109 0.4092
Cl 0.1520 0.4891 0.5908
Cl 0.4092 0.8480 0.5109
Ga 0.3072 0.4437 0.1037
Cl 0.7017 0.9486 0.1084
Ga 0.4437 0.1037 0.3072
Np 0.0000 0.0000 0.0000
Cl 0.9486 0.1084 0.7017
Cl 0.4891 0.5908 0.1520
Ga 0.6928 0.5563 0.8963
Cl 0.0514 0.8916 0.2983
Cl 0.2983 0.0514 0.8916
Cl 0.5109 0.4092 0.8480
Cl 0.8916 0.2983 0.0514
Cl 0.5908 0.1520 0.4891
Ga 0.1037 0.3072 0.4437
Ga 0.5563 0.8963 0.6928
Cl 0.1084 0.7017 0.9486
Ga 0.8963 0.6928 0.5563
```

- energy (eV per cell) = -70.88
- raw formation energy (eV/atom) = -0.927
- space group = R-3, No. 148

***

# 6
The following is a DFT calculation (PBE) of NpGaCl5 after structural relaxation. Values from VASP.

Quantum ESPRESSO input file:
```
&SYSTEM
  ibrav = 0, nat = 14, ntyp = 3
/
ATOMIC_SPECIES
Np 237.00 Np.upf
Cl 35.45 Cl.upf
Ga 69.72 Ga.upf
CELL_PARAMETERS angstrom
7.0361 -0.6057 2.3634
2.2949 6.6788 2.3634
0.4775 0.3108 10.3154
ATOMIC_POSITIONS crystal
Np 0.0000 0.0000 0.0000
Cl 0.6659 0.2351 0.4663
Cl 0.2904 0.1687 0.8642
Ga 0.5068 0.4932 0.7500
Cl 0.8313 0.7096 0.6358
Ga 0.4932 0.5068 0.2500
Cl 0.0971 0.9029 0.2500
Cl 0.2351 0.6659 0.9663
Cl 0.1687 0.2904 0.3642
Cl 0.7096 0.8313 0.1358
Cl 0.3341 0.7649 0.5337
Cl 0.7649 0.3341 0.0337
Np 0.0000 0.0000 0.5000
Cl 0.9029 0.0971 0.7500
```

- energy (eV per cell) = -69.40
- raw formation energy (eV/atom) = -1.357
- space group = C2/c, No. 15

***

# 7
The following is a DFT calculation (PBE) of NpGa2PbCl8 after structural relaxation. Values from VASP.

Quantum ESPRESSO input file:
```
&SYSTEM
  ibrav = 0, nat = 12, ntyp = 4
/
ATOMIC_SPECIES
Cl 35.45 Cl.upf
Np 237.00 Np.upf
Pb 207.20 Pb.upf
Ga 69.72 Ga.upf
CELL_PARAMETERS angstrom
-4.7988 -4.4572 -2.3037
-0.6368 -2.1429 6.4000
-6.1243 5.8913 1.3697
ATOMIC_POSITIONS crystal
Cl 0.8449 0.2066 0.7725
Np 0.0000 0.0000 0.0000
Pb 0.0000 0.0000 0.5000
Cl 0.7025 0.7613 0.9999
Cl 0.1553 0.7935 0.7727
Cl 0.6771 0.7168 0.5001
Cl 0.1551 0.7934 0.2275
Ga 0.4998 0.4993 0.7354
Cl 0.2975 0.2387 0.0001
Ga 0.5002 0.5007 0.2646
Cl 0.8447 0.2065 0.2273
Cl 0.3229 0.2832 0.4999
```

- energy (eV per cell) = -51.95
- raw formation energy (eV/atom) = -1.206
- space group = P-1, No. 2

***

# 8
The following is a DFT calculation (PBE) of RbNpGa2Cl8 after structural relaxation. Values from VASP.

Quantum ESPRESSO input file:
```
&SYSTEM
  ibrav = 0, nat = 12, ntyp = 4
/
ATOMIC_SPECIES
Cl 35.45 Cl.upf
Np 237.00 Np.upf
Rb 85.47 Rb.upf
Ga 69.72 Ga.upf
CELL_PARAMETERS angstrom
7.0030 0.0834 -0.0195
0.1248 6.8318 0.0396
-0.0145 0.0721 9.2221
ATOMIC_POSITIONS crystal
Cl 0.2865 0.2110 0.0027
Np 0.0000 0.0000 0.0000
Cl 0.6400 0.7026 0.4999
Rb 0.0000 0.0000 0.5000
Ga 0.5000 0.5025 0.2865
Cl 0.1561 0.7839 0.8058
Cl 0.1506 0.7788 0.1996
Cl 0.3600 0.2974 0.5001
Cl 0.8439 0.2161 0.1942
Cl 0.7135 0.7890 0.9973
Ga 0.5000 0.4975 0.7135
Cl 0.8494 0.2212 0.8004
```

- energy (eV per cell) = -50.45
- raw formation energy (eV/atom) = -1.309
- space group = P-1, No. 2

***

# 9
The following is a DFT calculation (PBE) of NpGaSnCl6 after structural relaxation. Values from VASP.

Quantum ESPRESSO input file:
```
&SYSTEM
  ibrav = 0, nat = 18, ntyp = 4
/
ATOMIC_SPECIES
Ga 69.72 Ga.upf
Np 237.00 Np.upf
Cl 35.45 Cl.upf
Sn 118.71 Sn.upf
CELL_PARAMETERS angstrom
-1.4182 1.7185 6.9377
-5.3419 -2.4377 -4.3148
2.5498 -11.5931 3.3928
ATOMIC_POSITIONS crystal
Ga 0.3333 0.6667 0.2500
Np 0.6667 0.3333 0.2500
Cl 0.3193 0.9709 0.6258
Cl 0.3484 0.0291 0.1258
Cl 0.6516 0.6807 0.6258
Cl 0.6516 0.9709 0.8742
Cl 0.3193 0.3484 0.8742
Cl 0.9709 0.6516 0.3742
Sn 0.0000 0.0000 0.5000
Cl 0.6807 0.6516 0.1258
Cl 0.0291 0.3484 0.6258
Np 0.3333 0.6667 0.7500
Cl 0.3484 0.3193 0.3742
Cl 0.6807 0.0291 0.3742
Cl 0.0291 0.6807 0.8742
Cl 0.9709 0.3193 0.1258
Ga 0.6667 0.3333 0.7500
Sn 0.0000 0.0000 0.0000
```

- energy (eV per cell) = -84.20
- raw formation energy (eV/atom) = -1.228
- space group = P-31c, No. 163

***

# 10
The following is a DFT calculation (PBE) of SrNpGaCl6 after structural relaxation. Values from VASP.

Quantum ESPRESSO input file:
```
&SYSTEM
  ibrav = 0, nat = 18, ntyp = 4
/
ATOMIC_SPECIES
Cl 35.45 Cl.upf
Ga 69.72 Ga.upf
Sr 87.62 Sr.upf
Np 237.00 Np.upf
CELL_PARAMETERS angstrom
-3.6540 6.0171 2.3241
-1.3480 -2.7831 -6.7377
-9.0680 -7.3858 4.8650
ATOMIC_POSITIONS crystal
Cl 0.6372 0.6549 0.6314
Cl 0.9823 0.6372 0.3686
Cl 0.6549 0.0177 0.3686
Cl 0.9823 0.3451 0.1314
Cl 0.3628 0.0177 0.1314
Ga 0.0000 0.0000 0.5000
Sr 0.6667 0.3333 0.7500
Cl 0.0177 0.6549 0.8686
Sr 0.3333 0.6667 0.2500
Cl 0.6372 0.9823 0.8686
Np 0.3333 0.6667 0.7500
Cl 0.6549 0.6372 0.1314
Cl 0.3451 0.3628 0.8686
Cl 0.3628 0.3451 0.3686
Cl 0.3451 0.9823 0.6314
Cl 0.0177 0.3628 0.6314
Np 0.6667 0.3333 0.2500
Ga 0.0000 0.0000 0.0000
```

- energy (eV per cell) = -88.54
- raw formation energy (eV/atom) = -1.727
- space group = P-31c, No. 163

***

# 11
The following is a DFT calculation (PBE) of NpTlGa2Cl8 after structural relaxation. Values from VASP.

Quantum ESPRESSO input file:
```
&SYSTEM
  ibrav = 0, nat = 12, ntyp = 4
/
ATOMIC_SPECIES
Cl 35.45 Cl.upf
Tl 204.38 Tl.upf
Ga 69.72 Ga.upf
Np 237.00 Np.upf
CELL_PARAMETERS angstrom
-5.1718 2.3499 -4.1029
-3.1839 -5.8381 0.5449
-4.3704 3.0371 7.2716
ATOMIC_POSITIONS crystal
Cl 0.8490 0.2206 0.2022
Tl 0.0000 0.0000 0.5000
Cl 0.7106 0.7807 0.9996
Ga 0.5000 0.4990 0.7183
Cl 0.8497 0.2213 0.7965
Ga 0.5000 0.5010 0.2817
Cl 0.3492 0.2973 0.4997
Cl 0.1510 0.7794 0.7978
Cl 0.1503 0.7787 0.2035
Cl 0.2894 0.2193 0.0004
Np 0.0000 0.0000 0.0000
Cl 0.6508 0.7027 0.5003
```

- energy (eV per cell) = -49.93
- raw formation energy (eV/atom) = -1.150
- space group = P-1, No. 2

***

# 12
The following is a DFT calculation (PBE) of NpTl2GaCl6 after structural relaxation. Values from VASP.

Quantum ESPRESSO input file:
```
&SYSTEM
  ibrav = 0, nat = 20, ntyp = 4
/
ATOMIC_SPECIES
Cl 35.45 Cl.upf
Np 237.00 Np.upf
Ga 69.72 Ga.upf
Tl 204.38 Tl.upf
CELL_PARAMETERS angstrom
7.4775 0.0000 0.0917
0.0000 8.0525 0.0000
0.1962 0.0000 10.8416
ATOMIC_POSITIONS crystal
Cl 0.1737 0.2133 0.0611
Cl 0.3263 0.7133 0.4389
Cl 0.3801 0.9551 0.7391
Cl 0.7029 0.3177 0.9467
Cl 0.2971 0.6823 0.0533
Np 0.0000 0.5000 0.0000
Ga 0.0000 0.5000 0.5000
Cl 0.7971 0.8177 0.5533
Cl 0.6199 0.0449 0.2609
Np 0.5000 0.0000 0.5000
Cl 0.8801 0.5449 0.2391
Cl 0.2029 0.1823 0.4467
Tl 0.4726 0.4253 0.2460
Cl 0.6737 0.2867 0.5611
Tl 0.5274 0.5747 0.7540
Tl 0.0274 0.9253 0.2540
Ga 0.5000 0.0000 0.0000
Cl 0.1199 0.4551 0.7609
Tl 0.9726 0.0747 0.7460
Cl 0.8263 0.7867 0.9389
```

- energy (eV per cell) = -88.59
- raw formation energy (eV/atom) = -1.251
- space group = P2_1/c, No. 14

***

Question: Number 4 is which compound?
Answer: NpGaCl6